1.
Below is a geometry-optimized AlRh2Se structure, with properties calculated at the PBE level.

CIF file:
```
data_AlRh2Se
_chemical_formula_sum 'Al2 Rh4 Se2'
_cell_length_a 3.043
_cell_length_b 4.268
_cell_length_c 9.370
_cell_angle_alpha 90.00
_cell_angle_beta 90.00
_cell_angle_gamma 90.00
_symmetry_space_group_name_H-M 'I m m 2'
_symmetry_Int_Tables_number 44
_symmetry_space_group_name_Hall 'I 2 -2'
loop_
_atom_site_label
_atom_site_type_symbol
_atom_site_fract_x
_atom_site_fract_y
_atom_site_fract_z
Al1 Al 0.000 0.000 0.000
Rh1 Rh 0.000 0.000 0.517
Rh2 Rh 0.000 0.500 0.738
Se1 Se 0.000 0.500 0.233
```

Results
distance to the lowest polymorph of the same formula: 0.118 eV/atom
ΔE_f (raw): -334 meV per atom
N(E_F): 0.690 states/eV/atom
M_tot: 0.000 μB/atom
E: -46.53 eV/cell

=====

2.
Below is a geometry-optimized AlRh2Se structure, with properties calculated at the PBE level.

CIF file:
```
data_AlRh2Se
_chemical_formula_sum 'Al4 Rh8 Se4'
_cell_length_a 6.207
_cell_length_b 6.207
_cell_length_c 6.207
_cell_angle_alpha 90.00
_cell_angle_beta 90.00
_cell_angle_gamma 90.00
_symmetry_space_group_name_H-M 'F m -3 m'
_symmetry_Int_Tables_number 225
_symmetry_space_group_name_Hall '-F 4 2 3'
loop_
_atom_site_label
_atom_site_type_symbol
_atom_site_fract_x
_atom_site_fract_y
_atom_site_fract_z
Al1 Al 0.000 0.000 0.000
Rh1 Rh 0.250 0.250 0.250
Se1 Se 0.000 0.000 0.500
```

Results
distance to the lowest polymorph of the same formula: 0.208 eV/atom
ΔE_f (raw): -244 meV per atom
N(E_F): 1.169 states/eV/atom
M_tot: 0.000 μB/atom
E: -91.62 eV/cell

=====

3.
Below is a geometry-optimized AlRhSe2 structure, with properties calculated at the PBE level.

CIF file:
```
data_AlRhSe2
_chemical_formula_sum 'Al2 Rh2 Se4'
_cell_length_a 3.750
_cell_length_b 3.752
_cell_length_c 12.617
_cell_angle_alpha 90.00
_cell_angle_beta 90.00
_cell_angle_gamma 90.00
_symmetry_space_group_name_H-M 'I m m m'
_symmetry_Int_Tables_number 71
_symmetry_space_group_name_Hall '-I 2 2'
loop_
_atom_site_label
_atom_site_type_symbol
_atom_site_fract_x
_atom_site_fract_y
_atom_site_fract_z
Al1 Al 0.000 0.000 0.000
Rh1 Rh 0.000 0.000 0.500
Se1 Se 0.000 0.500 0.136
```

Results
ΔE_f (raw): -570 meV per atom
N(E_F): 0.265 states/eV/atom
M_tot: 0.000 μB/atom
E: -40.68 eV/cell